No. 1
Na2Sr6Pd: optimized geometry, PBE-GGA.

Unit cell a=8.3686 b=8.3688 c=14.7725 alpha=90.00 beta=124.51 gamma=90.00
With the nearest neighbours (Å) after each atom.
Positions (direct):
Na  0.2484  0.0023  0.2498  10 Sr 4.01-4.47
Na  0.2484  0.4977  0.7498  10 Sr 4.01-4.47
Na  0.7516  0.5023  0.2502  10 Sr 4.01-4.47
Na  0.7516  0.9977  0.7502  10 Sr 4.01-4.47
Sr  0.2198  0.2215  0.9989  1 Pd 2.98
Sr  0.2198  0.2785  0.4989  1 Pd 2.98
Sr  0.2558  0.9996  0.7533  1 Pd 3.00
Sr  0.2558  0.5004  0.2533  1 Pd 3.00
Sr  0.2775  0.7207  0.9990  1 Pd 2.98
Sr  0.2775  0.7793  0.4990  1 Pd 2.98
Sr  0.7225  0.2207  0.5010  1 Pd 2.98
Sr  0.7225  0.2793  0.0010  1 Pd 2.98
Sr  0.7442  0.0004  0.2467  1 Pd 3.00
Sr  0.7442  0.4996  0.7467  1 Pd 3.00
Sr  0.7802  0.7215  0.5011  1 Pd 2.98
Sr  0.7802  0.7785  0.0011  1 Pd 2.98
Pd  0.5000  0.0000  0.0000  6 Sr 2.98-3.00
Pd  0.5000  0.5000  0.5000  6 Sr 2.98-3.00

DFT formation energy ... -0.151 eV/atom
Energy above the most stable polymorph in this dataset ... 0.05 eV/f.u.
Theoretical density ... 2.64 g cm⁻³
Raw total energy ... -2.14 eV per atom

---

No. 2
Na5Sr6Pd: optimized geometry, PBE-GGA.

Unit cell a=9.7990 b=9.7990 c=6.1787 alpha=108.09 beta=108.09 gamma=102.88
With the nearest neighbours (Å) after each atom.
Positions (direct):
Na  0.0000  0.0000  0.0000  4 Na 3.64, 4 Sr 4.02
Na  0.1260  0.8740  0.5000  5 Na 3.64-3.86, 4 Sr 3.93-3.95
Na  0.2710  0.7290  0.0000  8 Sr 3.71-3.97, 2 Na 3.81
Na  0.7290  0.2710  0.0000  8 Sr 3.71-3.97, 2 Na 3.81
Na  0.8740  0.1260  0.5000  5 Na 3.64-3.86, 4 Sr 3.93-3.95
Sr  0.1522  0.4616  0.3056  1 Pd 3.13
Sr  0.3253  0.3253  0.8223  2 Pd 3.57-3.63, 5 Sr 3.70-3.91, 4 Na 3.95-3.97
Sr  0.4616  0.1522  0.3056  1 Pd 3.13
Sr  0.5384  0.8478  0.6944  1 Pd 3.13
Sr  0.6747  0.6747  0.1777  2 Pd 3.57-3.63, 5 Sr 3.70-3.91, 4 Na 3.95-3.97
Sr  0.8478  0.5384  0.6944  1 Pd 3.13
Pd  0.5000  0.5000  0.5000  4 Sr 3.13

DFT formation energy ... -0.063 eV/atom
Theoretical density ... 2.47 g cm⁻³
Raw total energy ... -1.89 eV per atom

---

No. 3
Na2Sr3Pd: optimized geometry, PBE-GGA.

Unit cell a=10.0634 b=10.0634 c=8.6405 alpha=90.00 beta=90.00 gamma=35.09
With the nearest neighbours (Å) after each atom.
Positions (direct):
Na  0.2005  0.2034  0.2500  2 Na 3.55, 1 Sr 3.88
Na  0.2034  0.2005  0.7500  2 Na 3.55, 1 Sr 3.88
Na  0.7966  0.7995  0.2500  2 Na 3.55, 1 Sr 3.88
Na  0.7995  0.7966  0.7500  2 Na 3.55, 1 Sr 3.88
Sr  0.0009  0.9991  0.2500  2 Pd 3.03
Sr  0.3889  0.3889  0.0000  2 Pd 3.03
Sr  0.3889  0.3889  0.5000  2 Pd 3.03
Sr  0.6111  0.6111  0.0000  2 Pd 3.03
Sr  0.6111  0.6111  0.5000  2 Pd 3.03
Sr  0.9991  0.0009  0.7500  2 Pd 3.03
Pd  0.4989  0.5011  0.7500  6 Sr 3.03
Pd  0.5011  0.4989  0.2500  6 Sr 3.03

DFT formation energy ... -0.232 eV/atom
Theoretical density ... 2.74 g cm⁻³
Raw total energy ... -2.38 eV per atom